The following is a DFT calculation (PBE) of a relaxed Pa2ReF crystal.

## Properties
Final energy: -36.52 eV/f.u.
Formation energy (no corrections): -0.801 eV/atom
Symmetry: R-3m
Total magnetization: 0.000 μB/cell
Theoretical density: 14.97 g cm⁻³

```
Pa2ReF
1.0
1.555 0.898 8.832
-1.555 0.898 8.832
0.000 -1.796 8.832
Pa Re F
2 1 1
Direct
0.246 0.246 0.246
0.754 0.754 0.754
0.000 0.000 0.000
0.500 0.500 0.500
```



The following is a DFT calculation (PBE) of a relaxed BaAs3Pd crystal.

## Properties
Final energy: -13.69 eV/f.u.
Symmetry: Pm-3m
Total magnetization: 0.000 μB/cell
Theoretical density: 4.11 g cm⁻³
Formation energy from the elements: 1.474 eV/atom

```
BaAs3Pd
1.0
5.740 0.000 0.000
0.000 5.740 0.000
0.000 0.000 5.740
Ba As Pd
1 3 1
Direct
0.000 0.000 0.000
0.000 0.000 0.500
0.000 0.500 0.000
0.500 0.000 0.000
0.500 0.500 0.500
```



Copy entry 2 word for word.
The following is a DFT calculation (PBE) of a relaxed BaAs3Pd crystal.

## Properties
Final energy: -13.69 eV/f.u.
Symmetry: Pm-3m
Total magnetization: 0.000 μB/cell
Theoretical density: 4.11 g cm⁻³
Formation energy from the elements: 1.474 eV/atom

```
BaAs3Pd
1.0
5.740 0.000 0.000
0.000 5.740 0.000
0.000 0.000 5.740
Ba As Pd
1 3 1
Direct
0.000 0.000 0.000
0.000 0.000 0.500
0.000 0.500 0.000
0.500 0.000 0.000
0.500 0.500 0.500
```



What did the first record say?
The following is a DFT calculation (PBE) of a relaxed Pa2ReF crystal.

## Properties
Final energy: -36.52 eV/f.u.
Formation energy (no corrections): -0.801 eV/atom
Symmetry: R-3m
Total magnetization: 0.000 μB/cell
Theoretical density: 14.97 g cm⁻³

```
Pa2ReF
1.0
1.555 0.898 8.832
-1.555 0.898 8.832
0.000 -1.796 8.832
Pa Re F
2 1 1
Direct
0.246 0.246 0.246
0.754 0.754 0.754
0.000 0.000 0.000
0.500 0.500 0.500
```



Which formula does entry 1 have?
Pa2ReF



What is the theoretical density in the second record?
4.11 g cm⁻³